1.
A geometry-optimized TlIn2Cl4 structure. Source: the Alexandria database, functional PBE.

Values from the calculation:
Energy above the most stable polymorph in this dataset, meV/atom: 198
Density, g cm⁻³: 4.0
Magnetic moment, μB/atom: 0.00

Cell lengths 5.5486, 5.5486, 8.7572 Å; angles 108.47, 108.47, 90.00 degrees
Last column: nearest neighbours and their distance in Å.
Fractional positions:
1 Cl 0.0000 0.5000 0.0000  2 Tl 2.77
2 Cl 0.8180 0.8180 0.6361  1 In 2.77, 1 Tl 2.85
3 Cl 0.5000 0.0000 0.0000  2 Tl 2.77
4 Cl 0.1820 0.1820 0.3639  1 In 2.77, 1 Tl 2.85
5 In 0.3591 0.3591 0.7183  1 Cl 2.77
6 In 0.6409 0.6409 0.2817  1 Cl 2.77
7 Tl 0.0000 0.0000 0.0000  6 Cl 2.77-2.85

---

2.
A geometry-optimized TlIn2Cl structure. Source: the Alexandria database, functional PBE.

Values from the calculation:
Energy above the most stable polymorph in this dataset, meV/atom: 83
Density, g cm⁻³: 6.9
Magnetic moment, μB/atom: 0.00

Cell lengths 5.4954, 5.4954, 3.7169 Å; angles 90.00, 90.00, 90.63 degrees
Last column: nearest neighbours and their distance in Å.
Fractional positions:
1 In 0.5000 0.5000 0.0000  4 Tl 3.32, 4 Cl 3.32
2 In 0.0000 0.0000 0.0000  4 Cl 3.32, 4 Tl 3.32
3 Cl 0.0000 0.5000 0.5000  8 In 3.32
4 Tl 0.5000 0.0000 0.5000  8 In 3.32

---

3.
A geometry-optimized TlInCl2 structure. Source: the Alexandria database, functional PBE.

Values from the calculation:
Energy above the most stable polymorph in this dataset, meV/atom: 21
Density, g cm⁻³: 4.8
Magnetic moment, μB/atom: 0.00

Cell lengths 4.4413, 4.4413, 8.2886 Å; angles 74.46, 74.46, 60.00 degrees
Last column: nearest neighbours and their distance in Å.
Fractional positions:
1 Tl 0.4994 0.4994 0.5017  6 Cl 3.24-3.26
2 Cl 0.2513 0.2513 0.2461  3 In 3.22, 3 Tl 3.26
3 Cl 0.0823 0.0823 0.7530  3 In 3.22, 3 Tl 3.24
4 In 0.6669 0.6669 0.9992  6 Cl 3.22

---

4.
A geometry-optimized TlIn2Cl structure. Source: the Alexandria database, functional PBE.

Values from the calculation:
Energy above the most stable polymorph in this dataset, meV/atom: 36
Density, g cm⁻³: 6.8
Magnetic moment, μB/atom: 0.00

Cell lengths 6.1246, 6.1246, 5.3306 Å; angles 90.00, 90.00, 35.06 degrees
Last column: nearest neighbours and their distance in Å.
Fractional positions:
1 Cl 0.2425 0.2425 0.3700  1 Tl 2.98, 4 In 3.19-3.29
2 Tl 0.4978 0.4978 0.3747  1 Cl 2.98, 4 In 3.24-3.25
3 In 0.0144 0.0144 0.8740  3 In 3.14-3.27, 4 Tl 3.24-3.25
4 In 0.7454 0.7454 0.8813  3 In 3.14-3.27, 4 Cl 3.19-3.29

---

5.
A geometry-optimized Tl2InCl structure. Source: the Alexandria database, functional PBE.

Values from the calculation:
Energy above the most stable polymorph in this dataset, meV/atom: 0
Density, g cm⁻³: 7.5
Magnetic moment, μB/atom: 0.00

Cell lengths 3.8794, 5.0535, 6.2753 Å; angles 90.00, 90.00, 90.00 degrees
Last column: nearest neighbours and their distance in Å.
Fractional positions:
1 Tl 0.0000 0.0000 0.8756  2 Cl 3.14, 4 In 3.19
2 Tl 0.5000 0.5000 0.3745  2 In 3.14, 4 Cl 3.19
3 Cl 0.0000 0.0000 0.3754  6 Tl 3.14-3.19
4 In 0.5000 0.5000 0.8744  6 Tl 3.14-3.19

---

6.
A geometry-optimized Tl2InCl structure. Source: the Alexandria database, functional PBE.

Values from the calculation:
Energy above the most stable polymorph in this dataset, meV/atom: 53
Density, g cm⁻³: 7.8
Magnetic moment, μB/atom: 0.00

Cell lengths 6.2633, 6.2633, 5.3667 Å; angles 83.60, 83.60, 34.83 degrees
Last column: nearest neighbours and their distance in Å.
Fractional positions:
1 In 0.2500 0.2500 0.2500  4 Cl 3.27, 4 Tl 3.44
2 Tl 0.9772 0.9772 0.9985  1 Cl 3.16, 4 Tl 3.25-3.38, 2 In 3.44
3 Tl 0.5228 0.5228 0.5015  1 Cl 3.16, 4 Tl 3.25-3.38, 2 In 3.44
4 Cl 0.7500 0.7500 0.7500  2 Tl 3.16, 4 In 3.27

---

7.
A geometry-optimized TlInCl2 structure. Source: the Alexandria database, functional PBE.

Values from the calculation:
Energy above the most stable polymorph in this dataset, meV/atom: 0
Density, g cm⁻³: 5.1
Magnetic moment, μB/atom: 0.00

Cell lengths 6.6579, 6.6579, 4.5736 Å; angles 90.08, 90.08, 38.60 degrees
Last column: nearest neighbours and their distance in Å.
Fractional positions:
1 In 0.4959 0.4959 0.6275  1 Cl 2.79
2 Cl 0.0204 0.0204 0.1214  1 Tl 3.08, 4 In 3.17-3.21
3 Cl 0.7182 0.7182 0.6247  1 In 2.79
4 Tl 0.2655 0.2655 0.1264  5 Cl 3.08-3.23

---

8.
A geometry-optimized Tl2InCl structure. Source: the Alexandria database, functional PBE.

Values from the calculation:
Energy above the most stable polymorph in this dataset, meV/atom: 15
Density, g cm⁻³: 8.0
Magnetic moment, μB/atom: 0.00

Cell lengths 3.6774, 5.6031, 5.6031 Å; angles 90.00, 90.00, 90.00 degrees
Last column: nearest neighbours and their distance in Å.
Fractional positions:
1 Tl 0.0000 0.5000 0.5000  4 In 3.35, 4 Cl 3.35, 2 Tl 3.68
2 Tl 0.0000 0.0000 0.0000  4 Cl 3.35, 4 In 3.35, 2 Tl 3.68
3 Cl 0.5000 0.5000 0.0000  8 Tl 3.35, 2 Cl 3.68
4 In 0.5000 0.0000 0.5000  8 Tl 3.35, 2 In 3.68